This record from the Alexandria database describes PmHo12Tl3 after structural relaxation. The functional is PBE.

Structure (POSCAR):
```
PmHo12Tl3
1.0
-3.159 2.761 2.425
0.911 -2.509 4.044
14.566 12.654 4.569
Pm Ho Tl
1 12 3
direct
0.000 0.000 0.000 Pm
0.500 0.500 0.000 Ho
0.500 0.500 0.256 Ho
0.500 0.500 0.500 Ho
0.500 0.500 0.744 Ho
0.500 0.000 0.131 Ho
0.500 0.000 0.377 Ho
0.500 0.000 0.623 Ho
0.500 0.000 0.869 Ho
0.000 0.500 0.131 Ho
0.000 0.500 0.377 Ho
0.000 0.500 0.623 Ho
0.000 0.500 0.869 Ho
0.000 0.000 0.257 Tl
0.000 0.000 0.500 Tl
0.000 0.000 0.743 Tl
```

Computed properties:
DOS at the Fermi energy = 1.246 states/eV/atom
Space-group type = P4/mmm
Electronic total energy = -0.1578 hartree per atom
DFT formation energy = -119 meV per atom